DFT (PBE) results for a geometry-optimized ThSi3TcRh structure.

Properties
calculated total energy	-7.3546	eV/atom
space-group type	No. 63
raw formation energy	-2.7	eV per formula unit

Cell: 5.9915 6.2421 6.9159 Å, 116.83 90.00 90.00°
Fractional coordinates of all 12 atoms:
1 Th 0.7500 0.2218 0.4436
2 Th 0.2500 0.7782 0.5564
3 Si 0.2500 0.2096 0.4191
4 Si 0.0000 0.2983 0.0000
5 Si 0.5000 0.7017 0.0000
6 Si 0.5000 0.2983 0.0000
7 Si 0.0000 0.7017 0.0000
8 Si 0.7500 0.7904 0.5809
9 Tc 0.2500 0.0254 0.0507
10 Tc 0.7500 0.9746 0.9493
11 Rh 0.2500 0.3904 0.7807
12 Rh 0.7500 0.6096 0.2193



DFT (PBE) results for a geometry-optimized ThSi2TcRh structure.

Properties
calculated total energy	-8.1242	eV/atom
space-group type	No. 119
raw formation energy	-4.6	eV per formula unit

Cell: 4.2358 4.2358 5.7573 Å, 111.58 111.58 90.00°
Fractional coordinates of all 5 atoms:
1 Th 0.0000 0.0000 0.0000
2 Si 0.6296 0.6296 0.2593
3 Si 0.3704 0.3704 0.7407
4 Tc 0.7500 0.2500 0.5000
5 Rh 0.2500 0.7500 0.5000



DFT (PBE) results for a geometry-optimized TmSi2TcRh structure.

Properties
calculated total energy	-7.5033	eV/atom
space-group type	No. 119
raw formation energy	-4.5	eV per formula unit

Cell: 4.1854 4.1854 5.6135 Å, 111.89 111.89 90.00°
Fractional coordinates of all 5 atoms:
1 Tm 0.0000 0.0000 0.0000
2 Si 0.6281 0.6281 0.2563
3 Si 0.3719 0.3719 0.7437
4 Tc 0.7500 0.2500 0.5000
5 Rh 0.2500 0.7500 0.5000



DFT (PBE) results for a geometry-optimized USi2TcRh structure.

Properties
calculated total energy	-8.6233	eV/atom
space-group type	No. 119
raw formation energy	-3.3	eV per formula unit

Cell: 4.1635 4.1635 5.6523 Å, 111.61 111.61 90.00°
Each line ends with the local moment (μB).
Fractional coordinates of all 5 atoms:
1 U 0.0000 0.0000 0.0000  1.90
2 Si 0.6243 0.6243 0.2487  -0.01
3 Si 0.3757 0.3757 0.7513  -0.01
4 Tc 0.7500 0.2500 0.5000  -0.17
5 Rh 0.2500 0.7500 0.5000  -0.07



DFT (PBE) results for a geometry-optimized VSiTcRh structure.

Properties
calculated total energy	-8.6088	eV/atom
space-group type	No. 216
raw formation energy	-2.2	eV per formula unit

Cell: 4.2285 4.2285 4.2285 Å, 60.00 60.00 60.00°
Each line ends with the local moment (μB).
Fractional coordinates of all 4 atoms:
1 Si 0.7500 0.7500 0.7500  0.00
2 Rh 0.5000 0.5000 0.5000  0.16
3 Tc 0.0000 0.0000 0.0000  -0.13
4 V 0.2500 0.2500 0.2500  0.86



DFT (PBE) results for a geometry-optimized YSiTcRh2 structure.

Properties
calculated total energy	-7.6795	eV/atom
space-group type	No. 123
raw formation energy	-1.4	eV per formula unit

Cell: 4.4535 4.5434 4.4535 Å, 90.00 90.00 90.00°
Each line ends with the local moment (μB).
Fractional coordinates of all 5 atoms:
1 Y 0.5000 0.5000 0.5000  0.00
2 Si 0.0000 0.0000 0.0000  0.00
3 Rh 0.0000 0.0000 0.5000  0.01
4 Rh 0.5000 0.0000 0.0000  0.01
5 Tc 0.0000 0.5000 0.0000  0.15